Computed, not measured: SbBr2 after structural relaxation at the GGA-PBEsol level of DFT.

abc: 3.558 5.022 5.022
angles: 120.00 90.00 90.00
Fractional coordinates of all 3 atoms:
Br  0.778  0.667  0.333
Sb  0.000  0.000  0.000
Br  0.222  0.333  0.667

Summary:
space group: P-3m1, No. 164
total moment: 0.000 μB/f.u.
calculated volume: 77.7 Å³/f.u.
polymorph energy (0 for the lowest one): 199.3 meV/atom
E_tot: -9.0 eV/cell